## Rb2BaNiF6 (PBE+U)

Data for an optimized crystal structure of Rb2BaNiF6.

```
10
Lattice="-3.6771 -4.0250 3.4884 4.6805 -0.4186 4.4506 -1.2973 1.3529 6.1977" Properties=species:S:1:pos:R:3 pbc="T T T"
Ni 0.5017 -2.2218 3.9695
Ba 0.0000 0.0000 0.0000
Rb -2.2363 -2.4469 6.8278
Rb 1.9425 -0.6438 7.3089
F -0.3002 -0.6283 4.9628
F 0.0064 -2.4624 9.1739
F 0.2782 -1.2322 2.2014
F 0.7252 -3.2114 5.7377
F -1.3596 -3.0249 3.7553
F 2.3630 -1.4186 4.1838
```

Output
Space-group type   Fm-3m (225)
Total DFT energy (no corrections)   -46.4 eV/cell
Distance to the lowest polymorph of the same formula   0.005 eV per atom
Volume   191.9 Å³/cell